DFT (PBE) results for a geometry-optimized SrTiAu structure.

Lattice parameters (Å, degrees): 5.233 3.701 11.298 90.00 90.00 134.98
Fractional coordinates of all 6 atoms:
Au 0.195 0.390 0.000
Au 0.694 0.388 0.500
Ti 0.695 0.389 0.902
Ti 0.695 0.389 0.098
Sr 0.194 0.388 0.327
Sr 0.194 0.388 0.673

Values from the calculation:
VASP energy   -4.371 eV/atom
DFT formation energy   -25 kJ/mol of formula units


DFT (PBE) results for a geometry-optimized SrTiAu2 structure.

Lattice parameters (Å, degrees): 7.719 7.719 6.505 53.61 53.61 90.00
Fractional coordinates of all 8 atoms:
Sr 0.000 0.000 0.000
Sr 0.750 0.250 0.500
Au 0.563 0.125 0.250
Au 0.187 0.625 0.250
Au 0.375 0.437 0.750
Au 0.875 0.813 0.750
Ti 0.500 0.500 0.000
Ti 0.250 0.750 0.500

Values from the calculation:
VASP energy   -4.162 eV/atom
DFT formation energy   -50 kJ/mol of formula units


DFT (PBE) results for a geometry-optimized SrTiAu2 structure.

Lattice parameters (Å, degrees): 5.027 5.027 5.027 60.00 60.00 60.00
Fractional coordinates of all 4 atoms:
Sr 0.500 0.500 0.500
Au 0.250 0.250 0.250
Au 0.750 0.750 0.750
Ti 0.000 0.000 0.000

Values from the calculation:
VASP energy   -4.209 eV/atom
DFT formation energy   -68 kJ/mol of formula units


DFT (PBE) results for a geometry-optimized SrTi2Au2 structure.

Lattice parameters (Å, degrees): 8.143 8.143 3.181 90.00 90.00 90.00
Fractional coordinates of all 10 atoms:
Sr 0.000 0.000 0.000
Sr 0.500 0.500 0.000
Au 0.371 0.871 0.000
Au 0.871 0.629 0.000
Au 0.629 0.129 0.000
Au 0.129 0.371 0.000
Ti 0.159 0.659 0.500
Ti 0.659 0.841 0.500
Ti 0.841 0.341 0.500
Ti 0.341 0.159 0.500

Values from the calculation:
VASP energy   -4.879 eV/atom
DFT formation energy   -36 kJ/mol of formula units